a) This record from Alexandria describes a relaxed structure of Ga2AgI8. The functional is PBE.

Unit cell a=8.3056 b=8.3056 c=9.0276 alpha=90.00 beta=90.00 gamma=120.00
Atoms (fractional coordinates):
1 Ga 0.3333 0.6667 0.2930
2 Ga 0.6667 0.3333 0.7070
3 Ag 0.0000 0.0000 0.0000
4 I 0.1579 0.3158 0.2219
5 I 0.1579 0.8421 0.2219
6 I 0.3158 0.1579 0.7781
7 I 0.3333 0.6667 0.5774
8 I 0.6667 0.3333 0.4226
9 I 0.6842 0.8421 0.2219
10 I 0.8421 0.1579 0.7781
11 I 0.8421 0.6842 0.7781

Properties
**Volume**: 539 Å³/cell
**Space-group type**: P-3m1

b) This record from Alexandria describes a relaxed structure of Ga2AgI8. The functional is PBE.

Unit cell a=8.5151 b=8.5151 c=7.4178 alpha=90.98 beta=90.98 gamma=79.13
Atoms (fractional coordinates):
1 Ga 0.2252 0.2252 0.3320
2 Ga 0.7748 0.7748 0.6680
3 Ag 0.0000 0.0000 0.0000
4 I 0.0683 0.7051 0.8072
5 I 0.2188 0.2188 0.6761
6 I 0.2949 0.9317 0.1928
7 I 0.4042 0.4042 0.2128
8 I 0.5958 0.5958 0.7872
9 I 0.7051 0.0683 0.8072
10 I 0.7812 0.7812 0.3239
11 I 0.9317 0.2949 0.1928

Properties
**Volume**: 528 Å³/cell
**Space-group type**: C2/m

Energetically preferred structure: b) | next structure: +103 meV/atom

a) This record from Alexandria describes a relaxed structure of Ga2Ag2I7. The functional is PBE.

Unit cell a=8.3529 b=8.3529 c=7.6099 alpha=108.39 beta=108.39 gamma=91.00
Atoms (fractional coordinates):
1 Ga 0.1980 0.1980 0.3958
2 Ga 0.8020 0.8020 0.6042
3 Ag 0.3137 0.6863 0.0000
4 Ag 0.6863 0.3137 0.0000
5 I 0.0000 0.0000 0.5000
6 I 0.0431 0.3970 0.1974
7 I 0.3970 0.0431 0.1974
8 I 0.4326 0.4326 0.7144
9 I 0.5674 0.5674 0.2856
10 I 0.6030 0.9569 0.8026
11 I 0.9569 0.6030 0.8026

Properties
**Volume**: 474 Å³/cell
**Space-group type**: C2/m

b) This record from Alexandria describes a relaxed structure of Ga2Ag2I7. The functional is PBE.

Unit cell a=7.1806 b=19.8454 c=7.5755 alpha=90.00 beta=108.88 gamma=90.00
Atoms (fractional coordinates):
1 Ga 0.1509 0.1006 0.3413
2 Ga 0.1509 0.3994 0.8413
3 Ga 0.8491 0.6006 0.1587
4 Ga 0.8491 0.8994 0.6587
5 Ag 0.4081 0.5969 0.5913
6 Ag 0.4081 0.9031 0.0913
7 Ag 0.5919 0.0969 0.9087
8 Ag 0.5919 0.4031 0.4087
9 I 0.0000 0.0000 0.5000
10 I 0.0000 0.5000 0.0000
11 I 0.1276 0.6844 0.3530
12 I 0.1276 0.8156 0.8530
13 I 0.3228 0.0435 0.1068
14 I 0.3228 0.4565 0.6068
15 I 0.4136 0.1760 0.5900
16 I 0.4136 0.3240 0.0900
17 I 0.5864 0.6760 0.9100
18 I 0.5864 0.8240 0.4100
19 I 0.6772 0.5435 0.3932
20 I 0.6772 0.9565 0.8932
21 I 0.8724 0.1844 0.1470
22 I 0.8724 0.3156 0.6470

Properties
**Volume**: 1021 Å³/cell
**Space-group type**: P2_1/c

Energetically preferred structure: b) | next structure: +33 meV/atom

a) This record from Alexandria describes a relaxed structure of GaAgI2N. The functional is PBE.

Unit cell a=5.9401 b=5.9401 c=4.1767 alpha=90.00 beta=90.00 gamma=90.00
Atoms (fractional coordinates):
1 Ga 0.0000 0.0000 0.0000
2 Ag 0.5000 0.5000 0.5000
3 I 0.0000 0.5000 0.5000
4 I 0.5000 0.0000 0.5000
5 N 0.5000 0.5000 0.0000

Properties
**Volume**: 147 Å³/cell
**Space-group type**: P4/mmm

b) This record from Alexandria describes a relaxed structure of GaAgI2N. The functional is PBE.

Unit cell a=6.0549 b=6.0549 c=3.5355 alpha=90.00 beta=90.00 gamma=90.00
Atoms (fractional coordinates):
1 Ga 0.0000 0.0000 0.0000
2 Ag 0.5000 0.5000 0.5000
3 I 0.0000 0.5000 0.0000
4 I 0.5000 0.0000 0.0000
5 N 0.0000 0.0000 0.5000

Properties
**Volume**: 130 Å³/cell
**Space-group type**: P4/mmm

Energetically preferred structure: b) | next structure: +183 meV/atom

a) This record from Alexandria describes a relaxed structure of GaAgIO2. The functional is PBE.

Unit cell a=4.1639 b=4.1639 c=6.4366 alpha=90.00 beta=90.00 gamma=90.00
Atoms (fractional coordinates):
1 Ga 0.0000 0.0000 0.0000
2 Ag 0.5000 0.5000 0.5000
3 I 0.5000 0.5000 0.0000
4 O 0.0000 0.5000 0.5000
5 O 0.5000 0.0000 0.5000

Properties
**Volume**: 112 Å³/cell
**Space-group type**: P4/mmm

b) This record from Alexandria describes a relaxed structure of GaAgIO2. The functional is PBE.

Unit cell a=3.8766 b=3.8766 c=6.5357 alpha=90.00 beta=90.00 gamma=90.00
Atoms (fractional coordinates):
1 Ga 0.0000 0.0000 0.0000
2 Ag 0.5000 0.5000 0.5000
3 I 0.0000 0.0000 0.5000
4 O 0.0000 0.5000 0.0000
5 O 0.5000 0.0000 0.0000

Properties
**Volume**: 98 Å³/cell
**Space-group type**: P4/mmm

Energetically preferred structure: b) | next structure: +762 meV/atom

a) This record from Alexandria describes a relaxed structure of GaAgSb2I. The functional is PBE.

Unit cell a=5.3281 b=5.3281 c=5.7690 alpha=90.00 beta=90.00 gamma=90.00
Atoms (fractional coordinates):
1 Ga 0.0000 0.0000 0.0000
2 Ag 0.5000 0.5000 0.5000
3 Sb 0.0000 0.5000 0.0000
4 Sb 0.5000 0.0000 0.0000
5 I 0.0000 0.0000 0.5000

Properties
**Volume**: 164 Å³/cell
**Space-group type**: P4/mmm

b) This record from Alexandria describes a relaxed structure of GaAgSb2I. The functional is PBE.

Unit cell a=5.3334 b=5.3334 c=6.1637 alpha=90.00 beta=90.00 gamma=90.00
Atoms (fractional coordinates):
1 Ga 0.0000 0.0000 0.0000
2 Ag 0.5000 0.5000 0.5000
3 Sb 0.0000 0.5000 0.5000
4 Sb 0.5000 0.0000 0.5000
5 I 0.5000 0.5000 0.0000

Properties
**Volume**: 175 Å³/cell
**Space-group type**: P4/mmm

Energetically preferred structure: b) | next structure: +95 meV/atom

a) This record from Alexandria describes a relaxed structure of InGaAg2. The functional is PBE.

Unit cell a=4.3085 b=4.3085 c=4.2104 alpha=90.00 beta=90.00 gamma=90.00
Atoms (fractional coordinates):
1 In 0.0000 0.0000 0.0000
2 Ga 0.5000 0.5000 0.0000
3 Ag 0.0000 0.5000 0.5000
4 Ag 0.5000 0.0000 0.5000

Properties
**Volume**: 78 Å³/cell
**Space-group type**: P4/mmm

b) This record from Alexandria describes a relaxed structure of InGaAg2. The functional is PBE.

Unit cell a=6.1901 b=6.1901 c=6.1901 alpha=102.29 beta=102.29 gamma=125.05
Atoms (fractional coordinates):
1 In 0.0000 0.0000 0.0000
2 In 0.7500 0.2500 0.5000
3 Ga 0.2500 0.7500 0.5000
4 Ga 0.5000 0.5000 0.0000
5 Ag 0.1519 0.6250 0.0269
6 Ag 0.3750 0.4019 0.5269
7 Ag 0.5981 0.1250 0.9731
8 Ag 0.8750 0.8481 0.4731

Properties
**Volume**: 172 Å³/cell
**Space-group type**: I-42d

Energetically preferred structure: a) | next structure: +112 meV/atom

a) This record from Alexandria describes a relaxed structure of InGaAg2. The functional is PBE.

Unit cell a=3.1274 b=3.1274 c=8.0134 alpha=90.00 beta=90.00 gamma=90.00
Atoms (fractional coordinates):
1 In 0.0000 0.0000 0.0000
2 Ga 0.0000 0.0000 0.5000
3 Ag 0.5000 0.5000 0.2720
4 Ag 0.5000 0.5000 0.7280

Properties
**Volume**: 78 Å³/cell
**Space-group type**: P4/mmm

b) This record from Alexandria describes a relaxed structure of InGaAg2. The functional is PBE.

Unit cell a=4.8309 b=4.8309 c=4.8309 alpha=60.00 beta=60.00 gamma=60.00
Atoms (fractional coordinates):
1 In 0.0000 0.0000 0.0000
2 Ga 0.5000 0.5000 0.5000
3 Ag 0.2500 0.2500 0.2500
4 Ag 0.7500 0.7500 0.7500

Properties
**Volume**: 80 Å³/cell
**Space-group type**: Fm-3m

c) This record from Alexandria describes a relaxed structure of InGaAg2. The functional is PBE.

Unit cell a=4.1107 b=7.4878 c=5.6314 alpha=90.00 beta=109.08 gamma=90.00
Atoms (fractional coordinates):
1 In 0.0717 0.2500 0.0900
2 In 0.9283 0.7500 0.9100
3 Ga 0.1958 0.7500 0.4813
4 Ga 0.8042 0.2500 0.5187
5 Ag 0.4039 0.0547 0.7355
6 Ag 0.4039 0.4453 0.7355
7 Ag 0.5961 0.5547 0.2645
8 Ag 0.5961 0.9453 0.2645

Properties
**Volume**: 164 Å³/cell
**Space-group type**: P2_1/m

Energetically preferred structure: a) | next structure: +10 meV/atom

a) This record from Alexandria describes a relaxed structure of In2GaAg6. The functional is PBE.

Unit cell a=7.0976 b=6.7035 c=10.1137 alpha=90.00 beta=131.68 gamma=90.00
Atoms (fractional coordinates):
1 In 0.1059 0.1104 0.1763
2 In 0.1059 0.3896 0.6763
3 In 0.8941 0.6104 0.3237
4 In 0.8941 0.8896 0.8237
5 Ga 0.5000 0.0000 0.0000
6 Ga 0.5000 0.5000 0.5000
7 Ag 0.0699 0.6429 0.1305
8 Ag 0.0699 0.8571 0.6305
9 Ag 0.3188 0.6467 0.9647
10 Ag 0.3188 0.8533 0.4647
11 Ag 0.4671 0.1484 0.7133
12 Ag 0.4671 0.3516 0.2133
13 Ag 0.5329 0.6484 0.7867
14 Ag 0.5329 0.8516 0.2867
15 Ag 0.6812 0.1467 0.5353
16 Ag 0.6812 0.3533 0.0353
17 Ag 0.9301 0.1429 0.3695
18 Ag 0.9301 0.3571 0.8695

Properties
**Volume**: 359 Å³/cell
**Space-group type**: P2_1/c

b) This record from Alexandria describes a relaxed structure of In2GaAg6. The functional is PBE.

Unit cell a=9.1019 b=9.1019 c=4.1011 alpha=90.00 beta=90.00 gamma=90.00
Atoms (fractional coordinates):
1 In 0.1738 0.1738 0.0000
2 In 0.3262 0.6738 0.5000
3 In 0.6738 0.3262 0.5000
4 In 0.8262 0.8262 0.0000
5 Ga 0.0000 0.0000 0.5000
6 Ga 0.5000 0.5000 0.0000
7 Ag 0.0029 0.3346 0.5000
8 Ag 0.1577 0.8423 0.0000
9 Ag 0.1654 0.5029 0.0000
10 Ag 0.3346 0.0029 0.5000
11 Ag 0.3423 0.3423 0.5000
12 Ag 0.4971 0.8346 0.0000
13 Ag 0.5029 0.1654 0.0000
14 Ag 0.6577 0.6577 0.5000
15 Ag 0.6654 0.9971 0.5000
16 Ag 0.8346 0.4971 0.0000
17 Ag 0.8423 0.1577 0.0000
18 Ag 0.9971 0.6654 0.5000

Properties
**Volume**: 340 Å³/cell
**Space-group type**: P4_2/mnm

Energetically preferred structure: b) | next structure: +29 meV/atom

a) This record from Alexandria describes a relaxed structure of In2GaAg8. The functional is PBE.

Unit cell a=7.8620 b=7.8620 c=6.6176 alpha=104.07 beta=104.07 gamma=31.19
Atoms (fractional coordinates):
1 In 0.2216 0.2216 0.1488
2 In 0.7784 0.7784 0.8512
3 Ga 0.5000 0.5000 0.5000
4 Ag 0.0420 0.0420 0.2295
5 Ag 0.1359 0.1359 0.6815
6 Ag 0.3240 0.3240 0.5862
7 Ag 0.4115 0.4115 0.0559
8 Ag 0.5885 0.5885 0.9441
9 Ag 0.6760 0.6760 0.4138
10 Ag 0.8641 0.8641 0.3185
11 Ag 0.9580 0.9580 0.7705

Properties
**Volume**: 205 Å³/cell
**Space-group type**: C2/m

b) This record from Alexandria describes a relaxed structure of In2GaAg8. The functional is PBE.

Unit cell a=7.6749 b=7.6749 c=7.6749 alpha=148.55 beta=112.54 gamma=76.32
Atoms (fractional coordinates):
1 In 0.1420 0.1420 0.0000
2 In 0.8580 0.8580 0.0000
3 Ga 0.5000 0.5000 0.0000
4 Ag 0.0905 0.3364 0.7541
5 Ag 0.2729 0.0000 0.2729
6 Ag 0.3226 0.8226 0.5000
7 Ag 0.4177 0.6636 0.7541
8 Ag 0.5823 0.3364 0.2459
9 Ag 0.6774 0.1774 0.5000
10 Ag 0.7271 0.0000 0.7271
11 Ag 0.9095 0.6636 0.2459

Properties
**Volume**: 214 Å³/cell
**Space-group type**: Immm

Energetically preferred structure: a) | next structure: +19 meV/atom

a) This record from Alexandria describes a relaxed structure of In2GaAg2. The functional is PBE.

Unit cell a=7.1400 b=7.1400 c=4.3482 alpha=90.00 beta=90.00 gamma=90.00
Atoms (fractional coordinates):
1 In 0.1650 0.3350 0.0000
2 In 0.3350 0.8350 0.0000
3 In 0.6650 0.1650 0.0000
4 In 0.8350 0.6650 0.0000
5 Ga 0.0000 0.0000 0.5000
6 Ga 0.5000 0.5000 0.5000
7 Ag 0.1414 0.6414 0.5000
8 Ag 0.3586 0.1414 0.5000
9 Ag 0.6414 0.8586 0.5000
10 Ag 0.8586 0.3586 0.5000

Properties
**Volume**: 222 Å³/cell
**Space-group type**: P4/mbm

b) This record from Alexandria describes a relaxed structure of In2GaAg2. The functional is PBE.

Unit cell a=7.3720 b=7.3720 c=7.3720 alpha=146.82 beta=146.82 gamma=47.63
Atoms (fractional coordinates):
1 In 0.2500 0.7500 0.5000
2 In 0.7500 0.2500 0.5000
3 Ga 0.0000 0.0000 0.0000
4 Ag 0.3998 0.3998 0.0000
5 Ag 0.6002 0.6002 0.0000

Properties
**Volume**: 120 Å³/cell
**Space-group type**: I4/mmm

c) This record from Alexandria describes a relaxed structure of In2GaAg2. The functional is PBE.

Unit cell a=5.4656 b=5.4656 c=4.5190 alpha=109.45 beta=109.45 gamma=62.13
Atoms (fractional coordinates):
1 In 0.1925 0.1925 0.1751
2 In 0.8075 0.8075 0.8249
3 Ga 0.5000 0.5000 0.0000
4 Ag 0.2438 0.7562 0.5000
5 Ag 0.7562 0.2438 0.5000

Properties
**Volume**: 110 Å³/cell
**Space-group type**: C2/m

d) This record from Alexandria describes a relaxed structure of In2GaAg2. The functional is PBE.

Unit cell a=7.6056 b=7.6056 c=7.6056 alpha=149.32 beta=149.32 gamma=43.95
Atoms (fractional coordinates):
1 In 0.1014 0.1014 0.0000
2 In 0.8986 0.8986 0.0000
3 Ga 0.5000 0.5000 0.0000
4 Ag 0.2500 0.7500 0.5000
5 Ag 0.7500 0.2500 0.5000

Properties
**Volume**: 114 Å³/cell
**Space-group type**: I4/mmm

Energetically preferred structure: c) | next structure: +34 meV/atom